No. 1
The following is a DFT calculation (PBE) of YTmAlGa after structural relaxation.

Values from the calculation:
The density of states at the Fermi level is 1.47 states/eV/cell. For the volume, the calculation gives 91.2 Å³/cell. The space group is F-43m (216). The value obtained for the total energy is -19.64 eV per cell. The total magnetization is 0.00 μB per atom.

a = 5.052 Å, b = 5.052 Å, c = 5.052 Å
α = 60.00°, β = 60.00°, γ = 60.00°
Element x y z (fractional)
Y 0.750 0.750 0.750
Tm 0.250 0.250 0.250
Al 0.500 0.500 0.500
Ga 0.000 0.000 0.000

No. 2
The following is a DFT calculation (PBE) of AcPmTlIn after structural relaxation.

Values from the calculation:
The density of states at the Fermi level is 3.06 states/eV/cell. For the volume, the calculation gives 127.1 Å³/cell. The space group is P4mm (99). The value obtained for the total energy is -15.60 eV per cell. The total magnetization is 0.00 μB per atom.

a = 3.981 Å, b = 3.981 Å, c = 8.019 Å
α = 90.00°, β = 90.00°, γ = 90.00°
Element x y z (fractional)
Ac 0.500 0.500 0.110
Pm 0.500 0.500 0.605
Tl 0.000 0.000 0.834
In 0.000 0.000 0.378

No. 3
The following is a DFT calculation (PBE) of TmLuPd after structural relaxation.

Values from the calculation:
The density of states at the Fermi level is 3.02 states/eV/cell. For the volume, the calculation gives 71.1 Å³/cell. The space group is P3m1 (156). The value obtained for the total energy is -15.47 eV per cell. The total magnetization is 0.00 μB per atom.

a = 3.628 Å, b = 4.758 Å, c = 4.758 Å
α = 120.00°, β = 90.00°, γ = 90.00°
Element x y z (fractional)
Lu 0.073 0.000 0.000
Tm 0.603 0.667 0.333
Pd 0.324 0.333 0.667

No. 4
The following is a DFT calculation (PBE) of Pr3Dy3Tm after structural relaxation.

Values from the calculation:
The density of states at the Fermi level is 20.32 states/eV/cell. For the volume, the calculation gives 481.6 Å³/cell. The space group is R-3 (148). The value obtained for the total energy is -61.67 eV per cell. The total magnetization is 0.00 μB per atom.

a = 8.718 Å, b = 8.718 Å, c = 8.880 Å
α = 60.60°, β = 60.60°, γ = 60.00°
Element x y z (fractional)
Pr 0.185 0.703 0.177
Pr 0.936 0.185 0.177
Pr 0.703 0.936 0.177
Pr 0.297 0.064 0.823
Pr 0.064 0.815 0.823
Pr 0.815 0.297 0.823
Dy 0.570 0.726 0.641
Dy 0.726 0.063 0.641
Dy 0.063 0.570 0.641
Dy 0.937 0.430 0.359
Dy 0.274 0.937 0.359
Dy 0.430 0.274 0.359
Tm 0.348 0.348 0.957
Tm 0.652 0.652 0.043

No. 5
The following is a DFT calculation (PBE) of K14Tl21Cd9 after structural relaxation.

Values from the calculation:
The density of states at the Fermi level is 9.99 states/eV/cell. For the volume, the calculation gives 1554.6 Å³/cell. The space group is P-62m (189). The value obtained for the total energy is -78.92 eV per cell. The total magnetization is 0.00 μB per atom.

a = 10.139 Å, b = 10.139 Å, c = 17.461 Å
α = 90.00°, β = 90.00°, γ = 120.00°
Element x y z (fractional)
K 0.750 0.000 0.177
K 0.000 0.387 0.684
K 0.250 0.250 0.823
K 0.613 0.613 0.316
K 0.387 0.000 0.684
K 0.613 0.613 0.684
K 0.750 0.000 0.823
K 0.387 0.000 0.316
K 0.000 0.750 0.177
K 0.000 0.387 0.316
K 0.333 0.667 0.500
K 0.000 0.750 0.823
K 0.667 0.333 0.500
K 0.250 0.250 0.177
Tl 0.333 0.667 0.834
Tl 0.600 0.600 0.110
Tl 0.000 0.400 0.890
Tl 0.778 0.778 0.500
Tl 0.000 0.000 0.653
Tl 0.296 0.296 0.406
Tl 0.296 0.296 0.594
Tl 0.222 0.000 0.500
Tl 0.704 0.000 0.594
Tl 0.000 0.222 0.500
Tl 0.333 0.667 0.166
Tl 0.000 0.400 0.110
Tl 0.400 0.000 0.890
Tl 0.000 0.704 0.406
Tl 0.000 0.000 0.347
Tl 0.600 0.600 0.890
Tl 0.704 0.000 0.406
Tl 0.667 0.333 0.166
Tl 0.400 0.000 0.110
Tl 0.667 0.333 0.834
Tl 0.000 0.704 0.594
Cd 0.165 0.000 0.000
Cd 0.300 0.473 0.000
Cd 0.000 0.165 0.000
Cd 0.700 0.173 0.000
Cd 0.835 0.835 0.000
Cd 0.827 0.527 0.000
Cd 0.473 0.300 0.000
Cd 0.527 0.827 0.000
Cd 0.173 0.700 0.000

No. 6
The following is a DFT calculation (PBE) of Ba2Mg3ZnF12 after structural relaxation.

Values from the calculation:
The density of states at the Fermi level is 0.00 states/eV/cell. For the volume, the calculation gives 261.6 Å³/cell. The space group is R-3m (166). The calculation puts the formation energy (no corrections) at -60.0 eV per formula unit. The value obtained for the total energy is -92.36 eV per cell. The total magnetization is 0.00 μB per atom.

a = 7.157 Å, b = 7.157 Å, c = 7.157 Å
α = 60.40°, β = 60.40°, γ = 60.40°
Element x y z (fractional)
Ba 0.621 0.621 0.621
Ba 0.379 0.379 0.379
Mg 0.500 0.000 0.000
Mg 0.000 0.500 0.000
Mg 0.000 0.000 0.500
Zn 0.000 0.000 0.000
F 0.326 0.326 0.911
F 0.903 0.903 0.350
F 0.350 0.903 0.903
F 0.911 0.326 0.326
F 0.903 0.350 0.903
F 0.326 0.911 0.326
F 0.674 0.674 0.089
F 0.097 0.097 0.650
F 0.650 0.097 0.097
F 0.089 0.674 0.674
F 0.097 0.650 0.097
F 0.674 0.089 0.674

No. 7
The following is a DFT calculation (PBE) of CdSn2As after structural relaxation.

Values from the calculation:
The density of states at the Fermi level is 3.90 states/eV/cell. For the volume, the calculation gives 200.5 Å³/cell. The space group is Amm2 (38). The value obtained for the total energy is -26.56 eV per cell. The total magnetization is 0.00 μB per atom.

a = 3.152 Å, b = 5.855 Å, c = 10.861 Å
α = 90.00°, β = 90.00°, γ = 90.00°
Element x y z (fractional)
As 0.000 0.000 0.581
As 0.000 0.500 0.081
Sn 0.500 0.000 0.344
Sn 0.500 0.500 0.844
Sn 0.000 0.000 0.076
Sn 0.000 0.500 0.576
Cd 0.500 0.000 0.812
Cd 0.500 0.500 0.312

No. 8
The following is a DFT calculation (PBE) of AcIn3Pb after structural relaxation.

Values from the calculation:
The density of states at the Fermi level is 5.55 states/eV/cell. For the volume, the calculation gives 322.4 Å³/cell. The space group is Cmcm (63). The value obtained for the total energy is -33.78 eV per cell. The total magnetization is 0.00 μB per atom.

a = 6.033 Å, b = 6.311 Å, c = 9.037 Å
α = 69.56°, β = 90.00°, γ = 90.00°
Element x y z (fractional)
Ac 0.750 0.189 0.623
Ac 0.250 0.811 0.377
In 0.750 0.611 0.259
In 0.750 0.130 0.259
In 0.250 0.870 0.741
In 0.250 0.389 0.741
In 0.000 0.000 0.000
In 0.500 0.000 0.000
Pb 0.750 0.562 0.876
Pb 0.250 0.438 0.124

No. 9
The following is a DFT calculation (PBE) of Rb2TaCSe after structural relaxation.

Values from the calculation:
The density of states at the Fermi level is 4.09 states/eV/cell. For the volume, the calculation gives 177.2 Å³/cell. The space group is P4/mmm (123). The calculation puts the formation energy (no corrections) at 8.6 eV per formula unit. The value obtained for the total energy is -17.92 eV per cell. The total magnetization is 0.87 μB per atom.

a = 6.890 Å, b = 3.732 Å, c = 6.890 Å
α = 90.00°, β = 90.00°, γ = 90.00°
Element x y z (fractional)
C 0.000 0.500 0.000
Se 0.000 0.000 0.000
Rb 0.000 0.000 0.500
Rb 0.500 0.000 0.000
Ta 0.500 0.500 0.500

No. 10
The following is a DFT calculation (PBE) of ZrTlCl2 after structural relaxation.

Values from the calculation:
The density of states at the Fermi level is 3.28 states/eV/cell. For the volume, the calculation gives 106.9 Å³/cell. The space group is Cmm2 (35). The calculation puts the formation energy (no corrections) at -2.5 eV per formula unit. The value obtained for the total energy is -17.13 eV per cell. The total magnetization is 0.05 μB per atom.

a = 3.552 Å, b = 3.552 Å, c = 9.987 Å
α = 90.00°, β = 90.00°, γ = 121.95°
Element x y z (fractional)
Tl 0.000 0.000 0.503
Zr 0.500 0.500 0.754
Cl 0.000 0.000 0.944
Cl 0.500 0.500 0.300

No. 11
The following is a DFT calculation (PBE) of ZnNiGeRu after structural relaxation.

Values from the calculation:
The density of states at the Fermi level is 2.77 states/eV/cell. For the volume, the calculation gives 52.5 Å³/cell. The space group is F-43m (216). The value obtained for the total energy is -21.63 eV per cell. The total magnetization is 0.00 μB per atom.

a = 4.203 Å, b = 4.203 Å, c = 4.203 Å
α = 60.00°, β = 60.00°, γ = 60.00°
Element x y z (fractional)
Ru 0.500 0.500 0.500
Ge 0.250 0.250 0.250
Zn 0.750 0.750 0.750
Ni 0.000 0.000 0.000

Question: Among the records above, which one has the highest density of states at the Fermi level?
Answer: Pr3Dy3Tm

Question: Look up the density of states at the Fermi level of the tenth one.
Answer: 3.28 states/eV/cell